Entry 1:
First-principles (PBE-GGA) data for a geometry-optimized RbTl2SN structure, as listed in the Alexandria database.

Structure (POSCAR):
```
RbTl2SN
1.0
5.916 0.000 0.000
0.000 5.916 0.000
0.000 0.000 6.371
Rb Tl S N
1 2 1 1
direct
0.000 0.000 0.000
0.000 0.500 0.500
0.500 0.000 0.500
0.000 0.000 0.500
0.500 0.500 0.000
```

uncorrected formation energy: 758 meV/atom
symmetry: P4/mmm, No. 123
calculated volume: 223 Å³/cell
total magnetic moment: 2.06 μB/f.u.
VASP energy: -2.87 eV per atom



Entry 2:
First-principles (PBE-GGA) data for a geometry-optimized SrCa4O5 structure, as listed in the Alexandria database.

Structure (POSCAR):
```
SrCa4O5
1.0
5.767 -1.736 0.000
5.767 1.736 0.000
-4.198 0.000 7.423
Sr Ca O
1 4 5
direct
0.000 0.000 0.000
0.198 0.198 0.796
0.399 0.399 0.595
0.601 0.601 0.405
0.802 0.802 0.204
0.000 0.000 0.500
0.204 0.204 0.308
0.395 0.395 0.107
0.605 0.605 0.893
0.796 0.796 0.692
```

uncorrected formation energy: -2895 meV/atom
symmetry: C2/m, No. 12
calculated volume: 149 Å³/cell
total magnetic moment: 0.00 μB/f.u.
VASP energy: -6.34 eV per atom



Entry 3:
First-principles (PBE-GGA) data for a geometry-optimized NbBr structure, as listed in the Alexandria database.

Structure (POSCAR):
```
NbBr
1.0
3.412 0.000 0.000
0.000 9.553 0.000
0.000 0.000 9.946
Nb Br
6 6
direct
0.250 0.099 0.062
0.250 0.401 0.062
0.250 0.750 0.772
0.750 0.250 0.228
0.750 0.599 0.938
0.750 0.901 0.938
0.250 0.047 0.782
0.250 0.250 0.440
0.250 0.453 0.782
0.750 0.547 0.218
0.750 0.750 0.560
0.750 0.953 0.218
```

uncorrected formation energy: -245 meV/atom
symmetry: Pmmn, No. 59
calculated volume: 324 Å³/cell
total magnetic moment: 0.00 μB/f.u.
VASP energy: -6.12 eV per atom



Entry 4:
First-principles (PBE-GGA) data for a geometry-optimized ThTcH6 structure, as listed in the Alexandria database.

Structure (POSCAR):
```
ThTcH6
1.0
2.329 1.344 3.620
-2.329 1.344 3.620
0.000 -2.689 3.620
Th Tc H
1 1 6
direct
0.000 0.000 0.000
0.500 0.500 0.500
0.043 0.615 0.615
0.385 0.385 0.957
0.385 0.957 0.385
0.615 0.043 0.615
0.615 0.615 0.043
0.957 0.385 0.385
```

symmetry: R-3m, No. 166
calculated volume: 68 Å³/cell
total magnetic moment: 1.03 μB/f.u.
VASP energy: -4.95 eV per atom



Entry 5:
First-principles (PBE-GGA) data for a geometry-optimized La8DyEr5 structure, as listed in the Alexandria database.

Structure (POSCAR):
```
La8DyEr5
1.0
-4.894 4.894 5.189
4.894 -4.894 5.189
4.894 4.894 -5.189
La Dy Er
8 1 5
direct
0.077 0.341 0.601
0.161 0.434 0.090
0.344 0.071 0.910
0.524 0.923 0.264
0.566 0.656 0.727
0.659 0.261 0.736
0.739 0.476 0.399
0.929 0.839 0.273
0.250 0.750 0.500
0.033 0.727 0.906
0.273 0.179 0.306
0.500 0.500 0.000
0.821 0.127 0.094
0.873 0.967 0.694
```

symmetry: I-4, No. 82
calculated volume: 497 Å³/cell
total magnetic moment: 0.00 μB/f.u.
formation enthalpy at 0 K: 24 kJ per mole of atoms
VASP energy: -4.53 eV per atom



Entry 6:
First-principles (PBE-GGA) data for a geometry-optimized LiSmHoFe structure, as listed in the Alexandria database.

Structure (POSCAR):
```
LiSmHoFe
1.0
0.000 3.452 3.452
3.452 0.000 3.452
3.452 3.452 0.000
Li Sm Ho Fe
1 1 1 1
direct
0.000 0.000 0.000
0.250 0.250 0.250
0.750 0.750 0.750
0.500 0.500 0.500
```

symmetry: F-43m, No. 216
calculated volume: 82 Å³/cell
total magnetic moment: 0.00 μB/f.u.
formation enthalpy at 0 K: 11 kJ per mole of atoms
VASP energy: -4.81 eV per atom



Entry 7:
First-principles (PBE-GGA) data for a geometry-optimized ZrAg4 structure, as listed in the Alexandria database.

Structure (POSCAR):
```
ZrAg4
1.0
-1.920 1.920 6.867
1.920 -1.920 6.867
1.920 1.920 -6.867
Zr Ag
1 4
direct
0.000 0.000 0.000
0.250 0.750 0.500
0.402 0.402 0.000
0.598 0.598 0.000
0.750 0.250 0.500
```

symmetry: I4/mmm, No. 139
calculated volume: 101 Å³/cell
total magnetic moment: 0.36 μB/f.u.
formation enthalpy at 0 K: 21 kJ per mole of atoms
VASP energy: -3.77 eV per atom



Entry 8:
First-principles (PBE-GGA) data for a geometry-optimized DyTaTcOs structure, as listed in the Alexandria database.

Structure (POSCAR):
```
DyTaTcOs
1.0
0.000 3.280 3.280
3.280 0.000 3.280
3.280 3.280 0.000
Dy Ta Tc Os
1 1 1 1
direct
0.000 0.000 0.000
0.500 0.500 0.500
0.250 0.250 0.250
0.750 0.750 0.750
```

symmetry: F-43m, No. 216
calculated volume: 71 Å³/cell
total magnetic moment: 0.00 μB/f.u.
formation enthalpy at 0 K: -18 kJ per mole of atoms
VASP energy: -9.70 eV per atom



Question: Number 7 is which compound?
Answer: ZrAg4